The following is a PBE-GGA calculation of crystalline Ta2ZnPd9 at its relaxed geometry, from Alexandria via LeMat-Bulk.

Cell: 3.9511 3.9511 11.8473 Å, 90.00 90.00 90.00°
With the nearest neighbours (Å) after each atom.
Atoms (fractional coordinates):
Ta: 0.0000 0.0000 0.1752  12 Pd 2.70-2.87
Ta: 0.0000 0.0000 0.8248  12 Pd 2.70-2.87
Zn: 0.0000 0.0000 0.5000  12 Pd 2.79-2.82
Pd: 0.0000 0.5000 0.0000  8 Pd 2.77-2.79, 4 Ta 2.87
Pd: 0.0000 0.5000 0.3302  2 Ta 2.70, 8 Pd 2.79-2.82, 2 Zn 2.82
Pd: 0.0000 0.5000 0.6698  2 Ta 2.70, 8 Pd 2.79-2.82, 2 Zn 2.82
Pd: 0.5000 0.0000 0.0000  8 Pd 2.77-2.79, 4 Ta 2.87
Pd: 0.5000 0.0000 0.3302  2 Ta 2.70, 8 Pd 2.79-2.82, 2 Zn 2.82
Pd: 0.5000 0.0000 0.6698  2 Ta 2.70, 8 Pd 2.79-2.82, 2 Zn 2.82
Pd: 0.5000 0.5000 0.1639  8 Pd 2.77-2.79, 4 Ta 2.80
Pd: 0.5000 0.5000 0.5000  4 Zn 2.79, 8 Pd 2.82
Pd: 0.5000 0.5000 0.8361  8 Pd 2.77-2.79, 4 Ta 2.80

Values from the calculation:
symmetry: P4/mmm

=====

The following is a PBE-GGA calculation of crystalline TaZn2Pd8 at its relaxed geometry, from Alexandria via LeMat-Bulk.

Cell: 7.2919 7.2919 6.2361 Å, 106.73 106.73 31.97°
With the nearest neighbours (Å) after each atom.
Atoms (fractional coordinates):
Ta: 0.0000 0.0000 0.0000  12 Pd 2.71-2.81
Zn: 0.2789 0.2789 0.3550  10 Pd 2.64-2.82
Zn: 0.7211 0.7211 0.6450  10 Pd 2.64-2.82
Pd: 0.0978 0.0978 0.4552  3 Zn 2.68-2.79, 1 Ta 2.76, 8 Pd 2.77-2.96
Pd: 0.1804 0.1804 0.9225  3 Zn 2.64-2.82, 1 Ta 2.71, 8 Pd 2.76-2.81
Pd: 0.3605 0.3605 0.8103  3 Zn 2.72-2.78, 7 Pd 2.75-2.81, 2 Ta 2.81
Pd: 0.4570 0.4570 0.2698  1 Zn 2.70, 9 Pd 2.75-2.89, 2 Ta 2.80
Pd: 0.5430 0.5430 0.7302  1 Zn 2.70, 9 Pd 2.75-2.89, 2 Ta 2.80
Pd: 0.6395 0.6395 0.1897  3 Zn 2.72-2.78, 7 Pd 2.75-2.81, 2 Ta 2.81
Pd: 0.8196 0.8196 0.0775  3 Zn 2.64-2.82, 1 Ta 2.71, 8 Pd 2.76-2.81
Pd: 0.9022 0.9022 0.5448  3 Zn 2.68-2.79, 1 Ta 2.76, 8 Pd 2.77-2.96

Values from the calculation:
symmetry: C2/m

=====

The following is a PBE-GGA calculation of crystalline Ta2ZnPd8 at its relaxed geometry, from Alexandria via LeMat-Bulk.

Cell: 7.6329 7.6329 7.6329 Å, 145.59 135.40 57.52°
With the nearest neighbours (Å) after each atom.
Atoms (fractional coordinates):
Ta: 0.1878 0.1878 0.0000  12 Pd 2.71-2.90
Ta: 0.8122 0.8122 0.0000  12 Pd 2.71-2.90
Zn: 0.5000 0.5000 0.0000  4 Pd 2.43
Pd: 0.0950 0.3594 0.7355  1 Zn 2.43, 2 Ta 2.71
Pd: 0.2379 0.0000 0.2379  2 Zn 2.72, 8 Pd 2.76-3.04, 2 Ta 2.87
Pd: 0.3191 0.8191 0.5000  8 Pd 2.75-2.86, 4 Ta 2.86-2.90
Pd: 0.3761 0.6406 0.7355  1 Zn 2.43, 2 Ta 2.71
Pd: 0.6239 0.3594 0.2645  1 Zn 2.43, 2 Ta 2.71
Pd: 0.6809 0.1809 0.5000  8 Pd 2.75-2.86, 4 Ta 2.86-2.90
Pd: 0.7621 0.0000 0.7621  2 Zn 2.72, 8 Pd 2.76-3.04, 2 Ta 2.87
Pd: 0.9050 0.6406 0.2645  1 Zn 2.43, 2 Ta 2.71

Values from the calculation:
symmetry: Immm

=====

Number 1: total energy -6.44 eV/atom, ρ 12.44 g cm⁻³, calculated formation energy -0.465 eV per atom. Number 2: total energy -5.49 eV/atom, ρ 11.53 g cm⁻³, calculated formation energy -0.403 eV per atom. Number 3: total energy -6.42 eV/atom, ρ 12.13 g cm⁻³, calculated formation energy -0.373 eV per atom.